Density functional theory data (GGA-PBE) for an optimized crystal structure of La2Th2Co3.

V, Å³/atom: 24.51
Total moment, μB per cell: 0.00
Uncorrected energy, eV/atom: -6.72

a b c (Å): 7.096 7.096 6.393
angles (deg): 94.33 94.33 32.31
Fractional positions:
1 La 0.138 0.138 0.353
2 La 0.862 0.862 0.647
3 Th 0.389 0.389 0.152
4 Th 0.611 0.611 0.848
5 Co 0.237 0.237 0.853
6 Co 0.500 0.500 0.500
7 Co 0.763 0.763 0.147